Entry from the Alexandria database: a PBEsol-optimized structure of CdHg (meta-GGA SCAN).

extended XYZ file:
```
4
Lattice="-0.7551 3.0757 -0.0060 -2.9175 -0.7143 1.0041 2.6668 0.6708 8.2259" Properties=species:S:1:pos:R:3 pbc="T T T"
Hg 1.3060 1.9613 5.1900
Hg -0.4755 -0.1098 3.5350
Cd -0.0555 1.6189 0.9903
Cd 0.8860 0.2327 7.7346
```

Computed properties:
uncorrected energy	-49.25	eV per atom
calculated volume	87.0	Å³ per cell
space-group type	P4/nmm



Entry from the Alexandria database: a PBEsol-optimized structure of Zn2PbW (meta-GGA SCAN).

extended XYZ file:
```
4
Lattice="-2.2895 -0.4466 1.6884 1.7460 -0.7460 2.1649 0.3114 8.4074 2.6459" Properties=species:S:1:pos:R:3 pbc="T T T"
Pb -0.1160 3.6074 3.2496
W -0.2717 -0.5963 1.9267
Zn 0.0650 1.7556 0.5525
Zn 0.2464 6.6518 2.0934
```

Computed properties:
uncorrected energy	-42.62	eV per atom
calculated volume	73.1	Å³ per cell
space-group type	P4/mmm



Entry from the Alexandria database: a PBEsol-optimized structure of BeSn2H (meta-GGA SCAN).

extended XYZ file:
```
8
Lattice="-0.7962 3.5152 -2.8776 -3.3812 1.4925 2.7588 6.5357 1.2864 3.4592" Properties=species:S:1:pos:R:3 pbc="T T T"
Be 0.5329 2.6414 3.0793
Be 0.0000 0.0000 0.0000
Sn -1.6562 3.0915 2.0804
Sn -0.2977 3.8114 -0.4993
Sn 4.2395 1.6526 2.6939
Sn 2.4311 4.0328 2.4058
H 1.8254 3.6527 0.2611
H -2.0887 2.5039 -0.0594
```

Computed properties:
uncorrected energy	-19.34	eV per atom
calculated volume	143.8	Å³ per cell
space-group type	I-42d



Entry from the Alexandria database: a PBEsol-optimized structure of SrMg2HW (meta-GGA SCAN).

extended XYZ file:
```
5
Lattice="-3.1143 -1.2354 0.9688 2.2497 -4.9161 0.9629 1.0245 1.4847 5.1867" Properties=species:S:1:pos:R:3 pbc="T T T"
Sr 0.0000 0.0000 0.0000
Mg 0.5123 0.7424 2.5934
Mg 1.1249 -2.4580 0.4814
W 0.0800 -2.3334 3.5592
H -1.5572 -0.6177 0.4844
```

Computed properties:
uncorrected energy	-19.40	eV per atom
calculated volume	105.2	Å³ per cell
space-group type	P4/mmm



Entry from the Alexandria database: a PBEsol-optimized structure of Sr2SbMo (meta-GGA SCAN).

extended XYZ file:
```
4
Lattice="-0.1841 2.0596 -3.7896 -2.7072 -3.6029 -1.8266 -3.6619 4.6591 2.7101" Properties=species:S:1:pos:R:3 pbc="T T T"
Mo -3.2967 -0.6943 -0.2172
Sb -2.0516 -0.4264 -2.5910
Sr -6.1656 0.9403 0.8106
Sr -2.7744 2.5581 -0.9338
```

Computed properties:
uncorrected energy	-29.13	eV per atom
formation energy from raw total energies	48	meV/atom
calculated volume	126.9	Å³ per cell
space-group type	Amm2



Entry from the Alexandria database: a PBEsol-optimized structure of CuSOF2 (meta-GGA SCAN).

extended XYZ file:
```
5
Lattice="3.7548 0.0000 0.0000 0.0000 3.7548 0.0000 0.0000 0.0000 4.0249" Properties=species:S:1:pos:R:3 pbc="T T T"
S 1.8774 1.8774 2.0124
O 0.0000 0.0000 2.0124
Cu 0.0000 0.0000 0.0000
F 0.0000 1.8774 0.0000
F 1.8774 0.0000 0.0000
```

Computed properties:
uncorrected energy	-7.93	eV per atom
formation energy from raw total energies	-307	meV/atom
calculated volume	56.7	Å³ per cell
space-group type	P4/mmm



Entry from the Alexandria database: a PBEsol-optimized structure of Mg2CdAs (meta-GGA SCAN).

extended XYZ file:
```
4
Lattice="4.0401 0.0000 0.0000 -2.0200 3.5734 -0.0109 0.0000 -2.1670 6.3256" Properties=species:S:1:pos:R:3 pbc="T T T"
As 0.0000 -1.0835 3.1628
Mg 2.0200 0.1323 4.4025
Mg 0.0000 1.2741 1.9121
Cd 2.0200 0.0000 0.0000
```

Computed properties:
uncorrected energy	-15.40	eV per atom
calculated volume	91.2	Å³ per cell
space-group type	C2/m



Entry from the Alexandria database: a PBEsol-optimized structure of LaYBr2 (meta-GGA SCAN).

extended XYZ file:
```
4
Lattice="3.6127 0.0000 0.0000 -1.8064 4.6418 -0.0373 0.0000 -1.3366 6.1170" Properties=species:S:1:pos:R:3 pbc="T T T"
Y 0.0000 -0.6683 3.0585
Br 1.8064 1.3260 4.4961
Br 0.0000 1.9793 1.5836
La 1.8064 0.0000 0.0000
```

Computed properties:
uncorrected energy	-28.75	eV per atom
formation energy from raw total energies	-1281	meV/atom
calculated volume	102.4	Å³ per cell
space-group type	C2/m